Model P:
Density functional theory data (PBE) for a relaxed Cu3IrF crystal.

Computed properties:
The value obtained for the theoretical density is 6.6 g cm⁻³. The value obtained for the density of states at the Fermi level is 0.92 states/eV/atom.

Cell: 4.660 4.660 4.660 Å, 90.00 90.00 90.00°
Sites, in units of the cell vectors:
Cu (0.000, 0.000, 0.500)
Cu (0.000, 0.500, 0.000)
Cu (0.500, 0.000, 0.000)
Ir (0.000, 0.000, 0.000)
F (0.500, 0.500, 0.500)

---

Model Q:
Density functional theory data (PBE) for a relaxed Cu3IrF crystal.

Computed properties:
The value obtained for the theoretical density is 10.3 g cm⁻³. The value obtained for the density of states at the Fermi level is 1.25 states/eV/atom.

Cell: 4.020 4.020 4.020 Å, 90.00 90.00 90.00°
Sites, in units of the cell vectors:
Cu (0.000, 0.000, 0.500)
Cu (0.000, 0.500, 0.000)
Cu (0.500, 0.000, 0.000)
Ir (0.500, 0.500, 0.500)
F (0.000, 0.000, 0.000)

---

The structure with the least stability is model P.

---

Model P:
Density functional theory data (PBE) for a relaxed Cu2IrF crystal.

Computed properties:
The value obtained for the theoretical density is 10.9 g cm⁻³. The value obtained for the density of states at the Fermi level is 1.29 states/eV/atom.

Cell: 5.913 5.913 5.913 Å, 90.00 90.00 90.00°
Sites, in units of the cell vectors:
Cu (0.250, 0.250, 0.250)
Cu (0.250, 0.250, 0.750)
Cu (0.250, 0.750, 0.250)
Cu (0.250, 0.750, 0.750)
Cu (0.750, 0.250, 0.250)
Cu (0.750, 0.250, 0.750)
Cu (0.750, 0.750, 0.250)
Cu (0.750, 0.750, 0.750)
Ir (0.000, 0.000, 0.000)
Ir (0.000, 0.500, 0.500)
Ir (0.500, 0.000, 0.500)
Ir (0.500, 0.500, 0.000)
F (0.000, 0.000, 0.500)
F (0.000, 0.500, 0.000)
F (0.500, 0.000, 0.000)
F (0.500, 0.500, 0.500)

---

Model Q:
Density functional theory data (PBE) for a relaxed Cu2IrF crystal.

Computed properties:
The value obtained for the theoretical density is 11.0 g cm⁻³. The value obtained for the density of states at the Fermi level is 0.53 states/eV/atom.

Cell: 6.369 6.369 5.027 Å, 90.00 90.00 90.00°
Sites, in units of the cell vectors:
Cu (0.207, 0.250, 0.125)
Cu (0.250, 0.707, 0.375)
Cu (0.250, 0.793, 0.875)
Cu (0.293, 0.250, 0.625)
Cu (0.707, 0.750, 0.625)
Cu (0.750, 0.207, 0.875)
Cu (0.750, 0.293, 0.375)
Cu (0.793, 0.750, 0.125)
Ir (0.000, 0.000, 0.500)
Ir (0.000, 0.500, 0.750)
Ir (0.500, 0.000, 0.250)
Ir (0.500, 0.500, 0.000)
F (0.000, 0.000, 0.000)
F (0.000, 0.500, 0.250)
F (0.500, 0.000, 0.750)
F (0.500, 0.500, 0.500)

---

The structure with the least stability is model P.

---

Model P:
Density functional theory data (PBE) for a relaxed CuIrF3 crystal.

Computed properties:
The value obtained for the theoretical density is 7.9 g cm⁻³. The value obtained for the density of states at the Fermi level is 1.10 states/eV/atom.

Cell: 4.036 4.036 4.036 Å, 90.00 90.00 90.00°
Sites, in units of the cell vectors:
Cu (0.000, 0.000, 0.000)
Ir (0.500, 0.500, 0.500)
F (0.000, 0.000, 0.500)
F (0.000, 0.500, 0.000)
F (0.500, 0.000, 0.000)

---

Model Q:
Density functional theory data (PBE) for a relaxed CuIrF3 crystal.

Computed properties:
The value obtained for the theoretical density is 7.1 g cm⁻³. The value obtained for the density of states at the Fermi level is 0.45 states/eV/atom.

Cell: 4.190 4.190 4.190 Å, 90.00 90.00 90.00°
Sites, in units of the cell vectors:
Cu (0.000, 0.000, 0.000)
Ir (0.500, 0.500, 0.500)
F (0.000, 0.500, 0.500)
F (0.500, 0.000, 0.500)
F (0.500, 0.500, 0.000)

---

The structure with the least stability is model P.

---

Model P:
Density functional theory data (PBE) for a relaxed CuIr2F crystal.

Computed properties:
The value obtained for the theoretical density is 13.8 g cm⁻³. The value obtained for the density of states at the Fermi level is 1.59 states/eV/atom.

Cell: 6.845 6.845 4.792 Å, 90.00 90.00 90.00°
Sites, in units of the cell vectors:
Cu (0.000, 0.000, 0.000)
Cu (0.000, 0.500, 0.250)
Cu (0.500, 0.000, 0.750)
Cu (0.500, 0.500, 0.500)
Ir (0.206, 0.750, 0.625)
Ir (0.250, 0.206, 0.375)
Ir (0.250, 0.294, 0.875)
Ir (0.294, 0.750, 0.125)
Ir (0.706, 0.250, 0.125)
Ir (0.750, 0.706, 0.875)
Ir (0.750, 0.794, 0.375)
Ir (0.794, 0.250, 0.625)
F (0.000, 0.000, 0.500)
F (0.000, 0.500, 0.750)
F (0.500, 0.000, 0.250)
F (0.500, 0.500, 0.000)

---

Model Q:
Density functional theory data (PBE) for a relaxed CuIr2F crystal.

Computed properties:
The value obtained for the theoretical density is 14.8 g cm⁻³. The value obtained for the density of states at the Fermi level is 0.99 states/eV/atom.

Cell: 5.936 5.936 5.936 Å, 90.00 90.00 90.00°
Sites, in units of the cell vectors:
Cu (0.000, 0.000, 0.000)
Cu (0.000, 0.500, 0.500)
Cu (0.500, 0.000, 0.500)
Cu (0.500, 0.500, 0.000)
Ir (0.250, 0.250, 0.250)
Ir (0.250, 0.250, 0.750)
Ir (0.250, 0.750, 0.250)
Ir (0.250, 0.750, 0.750)
Ir (0.750, 0.250, 0.250)
Ir (0.750, 0.250, 0.750)
Ir (0.750, 0.750, 0.250)
Ir (0.750, 0.750, 0.750)
F (0.000, 0.000, 0.500)
F (0.000, 0.500, 0.000)
F (0.500, 0.000, 0.000)
F (0.500, 0.500, 0.500)

---

The structure with the least stability is model P.

---

Model P:
Density functional theory data (PBE) for a relaxed CuIrNF2 crystal.

Computed properties:
The value obtained for the theoretical density is 7.4 g cm⁻³. The value obtained for the density of states at the Fermi level is 0.29 states/eV/atom.

Cell: 4.325 4.325 3.698 Å, 90.00 90.00 90.00°
Sites, in units of the cell vectors:
Cu (0.000, 0.000, 0.000)
Ir (0.500, 0.500, 0.500)
N (0.500, 0.500, 0.000)
F (0.000, 0.500, 0.500)
F (0.500, 0.000, 0.500)

---

Model Q:
Density functional theory data (PBE) for a relaxed CuIrNF2 crystal.

Computed properties:
The value obtained for the theoretical density is 7.2 g cm⁻³. The value obtained for the density of states at the Fermi level is 0.92 states/eV/atom.

Cell: 3.469 3.469 5.893 Å, 90.00 90.00 90.00°
Sites, in units of the cell vectors:
Cu (0.000, 0.000, 0.000)
Ir (0.500, 0.500, 0.500)
N (0.000, 0.000, 0.500)
F (0.000, 0.500, 0.000)
F (0.500, 0.000, 0.000)

---

The structure with the least stability is model Q.

---

Model P:
Density functional theory data (PBE) for a relaxed CuIrOsF crystal.

Computed properties:
The value obtained for the theoretical density is 14.6 g cm⁻³. The value obtained for the density of states at the Fermi level is 0.27 states/eV/atom.

Cell: 2.706 2.706 8.318 Å, 90.00 90.00 120.00°
Sites, in units of the cell vectors:
Cu (0.000, 0.000, 0.000)
Ir (0.333, 0.667, 0.741)
Os (0.333, 0.667, 0.454)
F (0.333, 0.667, 0.181)

---

Model Q:
Density functional theory data (PBE) for a relaxed CuIrOsF crystal.

Computed properties:
The value obtained for the theoretical density is 14.4 g cm⁻³. The value obtained for the density of states at the Fermi level is 0.46 states/eV/atom.

Cell: 4.738 2.741 8.379 Å, 90.00 100.74 90.00°
Sites, in units of the cell vectors:
Cu (0.000, 0.000, 0.000)
Cu (0.500, 0.500, 0.000)
Ir (0.083, 0.500, 0.740)
Ir (0.583, 0.000, 0.740)
Os (0.166, 0.000, 0.486)
Os (0.666, 0.500, 0.486)
F (0.086, 0.000, 0.242)
F (0.586, 0.500, 0.242)

---

The structure with the least stability is model P.